Entry from the Alexandria database: a relaxed CaGeHRh2 crystal (PBE).

Cell: 3.717 11.252 7.219 Å, 90.00 90.00 90.00°
Space group Cmcm (No. 63)
Symmetry-distinct sites (fractional):
Ca: 0.000 0.044 0.250 [4 per cell]
Ge: 0.000 0.226 0.750 [4 per cell]
H: 0.000 0.500 0.000 [4 per cell]
Rh: 0.000 0.345 0.046 [8 per cell]

---

Entry from the Alexandria database: a relaxed Ca2GeHRh crystal (PBE).

Cell: 5.006 5.006 3.606 Å, 90.00 90.00 90.00°
Space group P4/mmm (No. 123)
Symmetry-distinct sites (fractional):
Ca: 0.000 0.500 0.000 [2 per cell]
Ge: 0.000 0.000 0.500 [1 per cell]
H: 0.500 0.500 0.000 [1 per cell]
Rh: 0.500 0.500 0.500 [1 per cell]

---

Entry from the Alexandria database: a relaxed Ca2Ge2HRu2 crystal (PBE).

Cell: 4.148 4.148 14.459 Å, 90.00 90.00 90.00°
Space group I4/mmm (No. 139)
Symmetry-distinct sites (fractional):
Ca: 0.000 0.000 0.160 [4 per cell]
Ge: 0.000 0.000 0.395 [4 per cell]
H: 0.000 0.000 0.000 [2 per cell]
Ru: 0.000 0.500 0.000 [4 per cell]

---

Entry from the Alexandria database: a relaxed CaTlGeH2 crystal (PBE).

Cell: 4.144 4.144 7.284 Å, 90.00 90.00 90.00°
Space group P4/mmm (No. 123)
Symmetry-distinct sites (fractional):
Ca: 0.000 0.000 0.000 [1 per cell]
Tl: 0.000 0.000 0.500 [1 per cell]
Ge: 0.500 0.500 0.500 [1 per cell]
H: 0.000 0.500 0.000 [2 per cell]

---

Entry from the Alexandria database: a relaxed Ca2TlGeH crystal (PBE).

Cell: 5.712 5.712 5.494 Å, 90.00 90.00 90.00°
Space group P4/mmm (No. 123)
Symmetry-distinct sites (fractional):
Ca: 0.000 0.500 0.000 [2 per cell]
Tl: 0.000 0.000 0.500 [1 per cell]
Ge: 0.000 0.000 0.000 [1 per cell]
H: 0.500 0.500 0.500 [1 per cell]

---

Entry from the Alexandria database: a relaxed Ca2YGeH crystal (PBE).

Cell: 4.730 4.730 4.857 Å, 90.00 90.00 90.00°
Space group P4/mmm (No. 123)
Symmetry-distinct sites (fractional):
Ca: 0.000 0.500 0.000 [2 per cell]
Y: 0.000 0.000 0.500 [1 per cell]
Ge: 0.500 0.500 0.500 [1 per cell]
H: 0.000 0.000 0.000 [1 per cell]

---

Entry from the Alexandria database: a relaxed CaZnGeH crystal (PBE).

Cell: 4.4310 4.4310 3.7800 Å, 90.00 90.00 120.00°
Space group P-6m2 (No. 187)
Symmetry-distinct sites (fractional):
Ca: 0.0000 0.0000 0.0000 [1 per cell]
Zn: 0.3333 0.6667 0.5000 [1 per cell]
Ge: 0.6667 0.3333 0.5000 [1 per cell]
H: 0.3333 0.6667 0.0000 [1 per cell]

---

Entry from the Alexandria database: a relaxed Ca2ZnGeH crystal (PBE).

Cell: 5.895 4.242 8.667 Å, 90.00 106.82 90.00°
Space group P2_1/m (No. 11)
Symmetry-distinct sites (fractional):
Ca: 0.219 0.250 0.432 [2 per cell]
Ca: 0.275 0.750 0.055 [2 per cell]
Zn: 0.352 0.750 0.725 [2 per cell]
Ge: 0.147 0.250 0.778 [2 per cell]
H: 0.378 0.750 0.529 [2 per cell]

Values from the calculation:
Distance to the lowest polymorph of the same formula = 0 meV/atom

---

How do the records compare in Fermi-level density of states? In the order shown, they have 9.4; 1.0; 8.3; 2.3; 2.7; 4.4; 1.6; 3.7 states/eV per cell.
How do the records compare in E_tot? In the order shown, they have -110.81; -21.87; -76.97; -14.47; -13.10; -20.05; -12.56; -31.24 eV/cell.